(1)
This record from Alexandria via LeMat-Bulk describes a geometry-optimized Tb2Y12Sc structure. The functional is PBE.

Geometry as POSCAR:
```
Tb2Y12Sc
1.0
6.5695 0.0000 0.0000
2.9180 5.8913 0.0000
2.1977 1.7489 24.6412
Tb Y Sc
4 24 2
direct
0.0456 0.3201 0.2699
0.4511 0.1836 0.7308
0.5489 0.8164 0.2692
0.9544 0.6799 0.7301
0.0326 0.7985 0.3318
0.0801 0.8656 0.1985
0.1580 0.8487 0.9347
0.1680 0.4068 0.8566
0.2321 0.4709 0.5990
0.2416 0.9870 0.5404
0.2575 0.5128 0.4594
0.2716 0.0321 0.4001
0.3108 0.6184 0.0679
0.3533 0.0828 0.1133
0.4628 0.6972 0.6705
0.4669 0.6834 0.8036
0.5331 0.3166 0.1964
0.5372 0.3028 0.3295
0.6467 0.9172 0.8867
0.6892 0.3816 0.9321
0.7284 0.9679 0.5999
0.7425 0.4872 0.5406
0.7584 0.0130 0.4596
0.7679 0.5291 0.4010
0.8320 0.5932 0.1434
0.8420 0.1513 0.0653
0.9199 0.1344 0.8015
0.9674 0.2015 0.6682
0.2506 0.2633 0.9857
0.7494 0.7367 0.0143
```

Its total energy is -6.14 eV/atom. The crystal system is triclinic. As for the energy relative to the elements: 0.07 eV/atom.

=====

(2)
This record from Alexandria via LeMat-Bulk describes a geometry-optimized YPRh3 structure. The functional is PBE.

Geometry as POSCAR:
```
YPRh3
1.0
-2.0027 2.0027 5.2136
2.0027 -2.0027 5.2136
2.0027 2.0027 -5.2136
Y P Rh
1 1 3
direct
0.0000 0.0000 0.0000
0.3673 0.3673 0.0000
0.2561 0.7561 0.5000
0.5785 0.5785 0.0000
0.7561 0.2561 0.5000
```

Its total energy is -7.69 eV/atom. The crystal system is tetragonal. As for the energy relative to the elements: -0.90 eV/atom.

=====

(3)
This record from Alexandria via LeMat-Bulk describes a geometry-optimized Sr2TlPb structure. The functional is PBE.

Geometry as POSCAR:
```
Sr2TlPb
1.0
2.0270 1.1703 10.5084
-2.0270 1.1703 10.5084
0.0000 -2.3406 10.5084
Sr Tl Pb
2 1 1
direct
0.2493 0.2493 0.2493
0.7507 0.7507 0.7507
0.5000 0.5000 0.5000
0.0000 0.0000 0.0000
```

Its total energy is -2.66 eV/atom. The crystal system is trigonal. As for the energy relative to the elements: -0.30 eV/atom.

=====

(4)
This record from Alexandria via LeMat-Bulk describes a geometry-optimized NaFeCl3 structure. The functional is PBE.

Geometry as POSCAR:
```
NaFeCl3
1.0
3.9520 0.0000 0.0000
0.0000 10.9708 3.3182
0.0000 -10.9708 3.3182
Na Fe Cl
2 2 6
direct
0.2500 0.1764 0.8236
0.7500 0.8236 0.1764
0.2500 0.3255 0.5672
0.7500 0.5672 0.3255
0.2500 0.0658 0.4928
0.2500 0.4007 0.2474
0.2500 0.6687 0.9032
0.7500 0.2474 0.4007
0.7500 0.4928 0.0658
0.7500 0.9032 0.6687
```

Its total energy is -4.19 eV/atom. The crystal system is orthorhombic.

=====

(5)
This record from Alexandria via LeMat-Bulk describes a geometry-optimized TmTh4As6 structure. The functional is PBE.

Geometry as POSCAR:
```
TmTh4As6
1.0
5.8291 3.3655 4.7932
-5.8291 3.3655 4.7932
0.0000 -6.7309 4.7932
Tm Th As
2 8 12
direct
0.0000 0.0000 0.0000
0.5000 0.5000 0.5000
0.1335 0.7500 0.3665
0.2500 0.2500 0.2500
0.2500 0.6335 0.8665
0.3665 0.1335 0.7500
0.6335 0.8665 0.2500
0.7500 0.3665 0.1335
0.7500 0.7500 0.7500
0.8665 0.2500 0.6335
0.0637 0.9174 0.6797
0.0826 0.3203 0.9363
0.1797 0.4174 0.5637
0.3203 0.9363 0.0826
0.4174 0.5637 0.1797
0.4363 0.8203 0.5826
0.5637 0.1797 0.4174
0.5826 0.4363 0.8203
0.6797 0.0637 0.9174
0.8203 0.5826 0.4363
0.9174 0.6797 0.0637
0.9363 0.0826 0.3203
```

Its total energy is -6.87 eV/atom. The crystal system is trigonal. As for the energy relative to the elements: -1.23 eV/atom.

=====

(6)
This record from Alexandria via LeMat-Bulk describes a geometry-optimized Li8AgAu5 structure. The functional is PBE.

Geometry as POSCAR:
```
Li8AgAu5
1.0
-3.8162 3.8162 3.9910
3.8162 -3.8162 3.9910
3.8162 3.8162 -3.9910
Li Ag Au
8 1 5
direct
0.1697 0.4345 0.0781
0.3564 0.0916 0.9219
0.4149 0.1519 0.3977
0.5655 0.6436 0.7352
0.7542 0.0173 0.6023
0.8481 0.2458 0.2631
0.9084 0.8303 0.2648
0.9827 0.5851 0.7369
0.2500 0.7500 0.5000
0.0000 0.0000 0.0000
0.1951 0.2909 0.6570
0.4618 0.8049 0.0958
0.6339 0.5382 0.3430
0.7091 0.3661 0.9042
```

Its total energy is -2.85 eV/atom. The crystal system is tetragonal. As for the energy relative to the elements: -0.39 eV/atom.